A plane-wave DFT calculation with PBE+U was carried out for a relaxed structure of Cr2O3.

Cell: 8.191 8.191 8.191 Å, 109.47 109.47 109.47°
Positions (direct):
1 Cr 0.000 0.000 0.500
2 Cr 0.000 0.500 0.000
3 Cr 0.039 0.750 0.789
4 Cr 0.211 0.961 0.250
5 Cr 0.250 0.211 0.961
6 Cr 0.250 0.711 0.461
7 Cr 0.289 0.539 0.750
8 Cr 0.461 0.250 0.711
9 Cr 0.500 0.000 0.000
10 Cr 0.500 0.500 0.500
11 Cr 0.539 0.750 0.289
12 Cr 0.711 0.461 0.250
13 Cr 0.750 0.289 0.539
14 Cr 0.750 0.789 0.039
15 Cr 0.789 0.039 0.750
16 Cr 0.961 0.250 0.211
17 O 0.005 0.047 0.272
18 O 0.042 0.495 0.768
19 O 0.047 0.272 0.005
20 O 0.225 0.453 0.458
21 O 0.228 0.275 0.732
22 O 0.232 0.958 0.505
23 O 0.268 0.772 0.725
24 O 0.272 0.005 0.047
25 O 0.275 0.732 0.228
26 O 0.453 0.458 0.225
27 O 0.458 0.225 0.453
28 O 0.495 0.768 0.042
29 O 0.505 0.232 0.958
30 O 0.542 0.775 0.547
31 O 0.547 0.542 0.775
32 O 0.725 0.268 0.772
33 O 0.728 0.995 0.953
34 O 0.732 0.228 0.275
35 O 0.768 0.042 0.495
36 O 0.772 0.725 0.268
37 O 0.775 0.547 0.542
38 O 0.953 0.728 0.995
39 O 0.958 0.505 0.232
40 O 0.995 0.953 0.728

Computed properties:
- D(E_F): 0.00 states/eV/f.u.
- Total energy: -39.5 eV/f.u.